# 1
A plane-wave DFT calculation with PBE was carried out for a relaxed TiAl crystal.

The structure in extended XYZ format:
```
8
Lattice="3.856 0.000 0.000 0.000 3.852 0.000 0.000 0.000 8.815" Properties=species:S:1:pos:R:3 pbc="T T T"
Al 0.000 0.963 1.102
Al 0.000 2.889 7.713
Al 1.928 2.889 5.509
Al 1.928 0.963 3.306
Ti 0.000 0.963 5.509
Ti 0.000 2.889 3.306
Ti 1.928 2.889 1.102
Ti 1.928 0.963 7.713
```

Values from the calculation:
As for the formation energy: -0.37 eV per atom. As for the symmetry: I4_1/amd, No. 141. Its calculated total energy is -6.19 eV per atom. Its density of states at the Fermi level is 0.6741 states/eV per atom.



# 2
A plane-wave DFT calculation with PBE was carried out for a relaxed Sr2GdI crystal.

The structure in extended XYZ format:
```
4
Lattice="3.964 0.000 0.000 0.000 3.964 0.000 0.000 0.000 10.467" Properties=species:S:1:pos:R:3 pbc="T T T"
I 1.982 1.982 5.234
Sr 0.000 0.000 7.694
Sr 0.000 0.000 2.773
Gd 1.982 1.982 0.000
```

Values from the calculation:
As for the symmetry: P4/mmm, No. 123. Its calculated total energy is -5.20 eV per atom. Its density of states at the Fermi level is 1.4554 states/eV per atom. The uncorrected formation energy comes out at -453 meV/atom.



Question: calculated total energy of number 2 (Sr2GdI)?
Answer: -5.20 eV per atom



Question: The lowest calculated total energy belongs to which entry?
Answer: TiAl



Question: Which of these has the lowest calculated total energy?
Answer: TiAl